VASP calculation (PBE) on an optimized crystal structure of PuThZnTc.

Computed properties:
formation energy = -0.006 eV/atom

Unit cell a=5.0033 b=5.0033 c=5.0033 alpha=60.00 beta=60.00 gamma=60.00
Last column: magnetic moment on the atom in μB.
Atoms (fractional coordinates):
1 Zn 0.7500 0.7500 0.7500  0.03
2 Tc 0.2500 0.2500 0.2500  -0.49
3 Th 0.5000 0.5000 0.5000  0.16
4 Pu 0.0000 0.0000 0.0000  5.20

VASP calculation (PBE) on an optimized crystal structure of Ba3HfAg2Te6.

Computed properties:
formation energy from raw total energies = -0.837 eV per atom

Unit cell a=8.3431 b=8.3431 c=8.5786 alpha=90.00 beta=90.00 gamma=120.00
Atoms (fractional coordinates):
1 Ba 0.3333 0.6667 0.5939
2 Ba 0.6667 0.3333 0.4061
3 Ba 0.0000 0.0000 0.0000
4 Hf 0.0000 0.0000 0.5000
5 Ag 0.6667 0.3333 0.8323
6 Ag 0.3333 0.6667 0.1677
7 Te 0.6784 0.8392 0.2998
8 Te 0.1608 0.3216 0.2998
9 Te 0.1608 0.8392 0.2998
10 Te 0.8392 0.6784 0.7002
11 Te 0.3216 0.1608 0.7002
12 Te 0.8392 0.1608 0.7002

VASP calculation (PBE) on an optimized crystal structure of SbAs3N.

Computed properties:
formation energy from raw total energies = 2.254 eV per atom

Unit cell a=5.2536 b=5.2536 c=5.2536 alpha=90.00 beta=90.00 gamma=90.00
Atoms (fractional coordinates):
1 Sb 0.0000 0.0000 0.0000
2 As 0.0000 0.5000 0.0000
3 As 0.0000 0.0000 0.5000
4 As 0.5000 0.0000 0.0000
5 N 0.5000 0.5000 0.5000

VASP calculation (PBE) on an optimized crystal structure of HfBi3C.

Computed properties:
formation energy = 1.013 eV/atom

Unit cell a=4.9490 b=4.9490 c=4.9490 alpha=90.00 beta=90.00 gamma=90.00
Atoms (fractional coordinates):
1 C 0.0000 0.0000 0.0000
2 Hf 0.5000 0.5000 0.5000
3 Bi 0.0000 0.5000 0.0000
4 Bi 0.0000 0.0000 0.5000
5 Bi 0.5000 0.0000 0.0000

VASP calculation (PBE) on an optimized crystal structure of BaAl3S.

Computed properties:
formation energy from raw total energies = 1.563 eV per atom

Unit cell a=6.1226 b=6.1226 c=6.1226 alpha=90.00 beta=90.00 gamma=90.00
Atoms (fractional coordinates):
1 S 0.5000 0.5000 0.5000
2 Ba 0.0000 0.0000 0.0000
3 Al 0.0000 0.5000 0.0000
4 Al 0.0000 0.0000 0.5000
5 Al 0.5000 0.0000 0.0000

VASP calculation (PBE) on an optimized crystal structure of NiBIr2Rh.

Computed properties:
formation energy = 2.190 eV/atom

Unit cell a=4.4349 b=4.4275 c=4.4349 alpha=90.00 beta=90.00 gamma=90.00
Last column: magnetic moment on the atom in μB.
Atoms (fractional coordinates):
1 Ni 0.0000 0.0000 0.0000  0.68
2 B 0.5000 0.5000 0.5000  -0.06
3 Ir 0.0000 0.0000 0.5000  0.86
4 Ir 0.5000 0.0000 0.0000  0.36
5 Rh 0.0000 0.5000 0.0000  0.56

VASP calculation (PBE) on an optimized crystal structure of HoCl2F.

Computed properties:
formation energy from raw total energies = -2.891 eV per atom

Unit cell a=5.9973 b=6.9172 c=10.4495 alpha=90.00 beta=90.00 gamma=90.00
Atoms (fractional coordinates):
1 Ho 0.0000 0.2500 0.6050
2 Ho 0.0000 0.7500 0.3950
3 Ho 0.5000 0.2500 0.8950
4 Ho 0.5000 0.7500 0.1050
5 Cl 0.7355 0.9272 0.9244
6 Cl 0.2645 0.0728 0.0756
7 Cl 0.2355 0.5728 0.5756
8 Cl 0.7645 0.4272 0.4244
9 Cl 0.7354 0.4272 0.0756
10 Cl 0.2646 0.5728 0.9244
11 Cl 0.2354 0.0728 0.4244
12 Cl 0.7646 0.9272 0.5756
13 F 0.2499 0.6873 0.2500
14 F 0.7501 0.3127 0.7500
15 F 0.7499 0.8127 0.2500
16 F 0.2501 0.1873 0.7500

VASP calculation (PBE) on an optimized crystal structure of Fe3Ir6Os2.

Computed properties:
formation energy = 0.140 eV/atom

Unit cell a=2.7111 b=4.2374 c=13.7750 alpha=98.82 beta=95.68 gamma=90.00
Last column: magnetic moment on the atom in μB.
Atoms (fractional coordinates):
1 Fe 0.0000 0.0000 0.0000  2.68
2 Fe 0.8141 0.8156 0.6298  2.42
3 Fe 0.1859 0.1844 0.3702  2.42
4 Ir 0.5980 0.0981 0.1967  -0.01
5 Ir 0.1328 0.6326 0.2659  -0.01
6 Ir 0.4020 0.9019 0.8033  -0.01
7 Ir 0.8672 0.3674 0.7341  -0.01
8 Ir 0.7228 0.7215 0.4449  0.05
9 Ir 0.2772 0.2785 0.5551  0.05
10 Os 0.4555 0.4549 0.9100  -0.01
11 Os 0.5445 0.5451 0.0900  -0.01

VASP calculation (PBE) on an optimized crystal structure of LaRu2Pb.

Computed properties:
formation energy = 0.468 eV/atom

Unit cell a=4.9570 b=4.9570 c=4.9570 alpha=60.00 beta=60.00 gamma=60.00
Last column: magnetic moment on the atom in μB.
Atoms (fractional coordinates):
1 La 0.5000 0.5000 0.5000  0.02
2 Pb 0.2500 0.2500 0.2500  -0.01
3 Ru 0.0000 0.0000 0.0000  1.20
4 Ru 0.7500 0.7500 0.7500  1.35

VASP calculation (PBE) on an optimized crystal structure of Pr3TmPt8.

Computed properties:
formation energy = -1.059 eV/atom

Unit cell a=5.5059 b=5.5059 c=9.5400 alpha=73.23 beta=73.23 gamma=60.00
Atoms (fractional coordinates):
1 Pr 0.3752 0.3752 0.8745
2 Pr 0.9988 0.9988 0.0036
3 Pr 0.5010 0.5010 0.4970
4 Tm 0.8743 0.8743 0.3770
5 Pt 0.9360 0.4367 0.1907
6 Pt 0.4406 0.9377 0.6840
7 Pt 0.4367 0.4367 0.1907
8 Pt 0.9377 0.9377 0.6840
9 Pt 0.1878 0.1878 0.4366
10 Pt 0.6876 0.6876 0.9371
11 Pt 0.4367 0.9360 0.1907
12 Pt 0.9377 0.4406 0.6840

VASP calculation (PBE) on an optimized crystal structure of BaCeSO2.

Computed properties:
formation energy from raw total energies = -2.805 eV per atom

Unit cell a=4.3672 b=4.3672 c=5.8797 alpha=90.00 beta=90.00 gamma=90.00
Atoms (fractional coordinates):
1 Ba 0.5000 0.5000 0.6306
2 Ce 0.0000 0.0000 0.0110
3 S 0.0000 0.0000 0.4823
4 O 0.0000 0.5000 0.9380
5 O 0.5000 0.0000 0.9380

VASP calculation (PBE) on an optimized crystal structure of Ga3MoW.

Computed properties:
formation energy = 1.168 eV/atom

Unit cell a=4.8687 b=4.8687 c=4.8687 alpha=90.00 beta=90.00 gamma=90.00
Last column: magnetic moment on the atom in μB.
Atoms (fractional coordinates):
1 Mo 0.5000 0.5000 0.5000  3.47
2 Ga 0.0000 0.5000 0.0000  -0.05
3 Ga 0.0000 0.0000 0.5000  -0.07
4 Ga 0.5000 0.0000 0.0000  0.01
5 W 0.0000 0.0000 0.0000  -0.39

VASP calculation (PBE) on an optimized crystal structure of Ti2Ge2Pd.

Computed properties:
formation energy = -0.607 eV/atom

Unit cell a=6.4886 b=6.4886 c=3.8019 alpha=90.00 beta=90.00 gamma=90.00
Atoms (fractional coordinates):
1 Ge 0.3652 0.8652 0.0000
2 Ge 0.8652 0.6348 0.0000
3 Ge 0.6348 0.1348 0.0000
4 Ge 0.1348 0.3652 0.0000
5 Pd 0.0000 0.0000 0.0000
6 Pd 0.5000 0.5000 0.0000
7 Ti 0.1693 0.6693 0.5000
8 Ti 0.6693 0.8307 0.5000
9 Ti 0.8307 0.3307 0.5000
10 Ti 0.3307 0.1693 0.5000

VASP calculation (PBE) on an optimized crystal structure of RbScIn2I6.

Computed properties:
formation energy from raw total energies = -0.963 eV per atom

Unit cell a=8.5302 b=8.5279 c=8.9656 alpha=61.55 beta=61.54 gamma=59.93
Atoms (fractional coordinates):
1 Rb 0.8186 0.8187 0.5439
2 Sc 0.3272 0.3270 0.0187
3 In 0.5198 0.5197 0.4409
4 In 0.0079 0.0081 0.9762
5 I 0.5471 0.2380 0.2328
6 I 0.2379 0.9818 0.2329
7 I 0.9817 0.5477 0.2327
8 I 0.3997 0.6844 0.7787
9 I 0.6847 0.1365 0.7792
10 I 0.1370 0.3998 0.7791

VASP calculation (PBE) on an optimized crystal structure of TaRuAu2.

Computed properties:
formation energy = -0.037 eV/atom

Unit cell a=3.0455 b=3.0455 c=7.4951 alpha=90.00 beta=90.00 gamma=89.99
Atoms (fractional coordinates):
1 Au 0.0000 0.0000 0.9928
2 Au 0.5000 0.5000 0.2587
3 Ru 0.0000 0.0000 0.5250
4 Ta 0.5000 0.5000 0.7235

VASP calculation (PBE) on an optimized crystal structure of Ho3AlCu.

Computed properties:
formation energy = -0.172 eV/atom

Unit cell a=7.1600 b=8.4561 c=9.2192 alpha=114.01 beta=90.00 gamma=90.00
Atoms (fractional coordinates):
1 Ho 0.1679 0.6082 0.8105
2 Ho 0.8321 0.3918 0.1895
3 Ho 0.6679 0.8918 0.1895
4 Ho 0.3321 0.1082 0.8105
5 Ho 0.6687 0.4733 0.8460
6 Ho 0.3313 0.5267 0.1540
7 Ho 0.1687 0.0267 0.1540
8 Ho 0.8313 0.9733 0.8460
9 Ho 0.0154 0.2142 0.5638
10 Ho 0.9846 0.7858 0.4362
11 Ho 0.5154 0.2858 0.4362
12 Ho 0.4846 0.7142 0.5638
13 Al 0.8421 0.5497 0.5814
14 Al 0.1579 0.4503 0.4186
15 Al 0.3421 0.9503 0.4186
16 Al 0.6579 0.0497 0.5814
17 Cu 0.0363 0.3395 0.9139
18 Cu 0.9637 0.6605 0.0861
19 Cu 0.5363 0.1605 0.0861
20 Cu 0.4637 0.8395 0.9139

VASP calculation (PBE) on an optimized crystal structure of VCo2WBr.

Computed properties:
formation energy from raw total energies = 1.623 eV per atom

Unit cell a=4.4199 b=4.6184 c=4.4199 alpha=90.00 beta=90.00 gamma=90.00
Last column: magnetic moment on the atom in μB.
Atoms (fractional coordinates):
1 Co 0.0000 0.0000 0.5000  1.50
2 Co 0.5000 0.0000 0.0000  1.14
3 Br 0.5000 0.5000 0.5000  0.09
4 W 0.0000 0.5000 0.0000  0.87
5 V 0.0000 0.0000 0.0000  -0.49

VASP calculation (PBE) on an optimized crystal structure of NpReS2.

Computed properties:
formation energy from raw total energies = 0.015 eV per atom

Unit cell a=3.0492 b=3.0492 c=8.8897 alpha=80.12 beta=80.12 gamma=60.00
Last column: magnetic moment on the atom in μB.
Atoms (fractional coordinates):
1 Np 0.5000 0.5000 0.5000  -2.81
2 Re 0.0000 0.0000 0.0000  0.01
3 S 0.0869 0.0869 0.7393  0.08
4 S 0.9131 0.9131 0.2607  0.08

VASP calculation (PBE) on an optimized crystal structure of MnFeTc2H.

Computed properties:
VASP energy = -8.22 eV per atom

Unit cell a=3.8278 b=3.8278 c=3.6275 alpha=90.00 beta=90.00 gamma=90.00
Last column: magnetic moment on the atom in μB.
Atoms (fractional coordinates):
1 H 0.0000 0.0000 0.0000  0.00
2 Mn 0.5000 0.5000 0.5000  0.29
3 Tc 0.0000 0.5000 0.0000  -0.14
4 Tc 0.5000 0.0000 0.0000  -0.14
5 Fe 0.0000 0.0000 0.5000  1.13

VASP calculation (PBE) on an optimized crystal structure of LiYAg2.

Computed properties:
formation energy = -0.030 eV/atom

Unit cell a=8.6426 b=8.6426 c=8.6426 alpha=23.29 beta=23.29 gamma=23.29
Atoms (fractional coordinates):
1 Ag 0.9915 0.9915 0.9915
2 Ag 0.5085 0.5085 0.5085
3 Li 0.2500 0.2500 0.2500
4 Y 0.7500 0.7500 0.7500